## Sc2GeB2Ir5 (meta-GGA SCAN)

Data for a crystal of Sc2GeB2Ir5 relaxed with PBEsol.

**Space-group type**: P4/mbm (127)
**Energy of formation**: -0.933 eV/atom
**Calculated density**: 14.3 g/cm3
**Magnetic moment**: 0.0 μB/cell
**Raw total energy**: -3.140 Ry/atom

Geometry as POSCAR:
```
Sc2GeB2Ir5
1.0
-2.766 1.379 0.547
-1.759 -6.145 6.605
3.973 5.514 6.188
Ir B Sc Ge
10 4 4 2
Cartesian
-1.007 -0.378 4.869
0.385 2.088 5.686
-1.480 -0.243 2.134
-2.262 -2.383 3.576
0.604 3.447 3.367
-2.161 -3.833 7.743
-0.936 -1.340 7.654
0.929 0.991 11.206
1.610 4.581 5.597
0.456 1.126 8.470
-0.046 -3.310 8.117
-0.171 -1.631 3.251
2.261 2.679 4.676
2.385 1.000 9.542
-0.491 -3.183 5.546
1.233 -1.344 9.626
2.706 2.552 7.247
0.982 0.713 3.167
1.107 -0.316 6.396
0.000 0.000 0.000
```

## Ti2Sb2Te (meta-GGA SCAN)

Data for a crystal of Ti2Sb2Te relaxed with PBEsol.

**Space-group type**: P4/mbm (127)
**Uncorrected formation energy**: -394.5 meV/atom
**Calculated density**: 7.4 g/cm3
**Magnetic moment**: 0.0 μB/cell
**Raw total energy**: -2.143 Ry/atom

Geometry as POSCAR:
```
Ti2Sb2Te
1.0
-2.786 -1.586 1.645
-2.513 -2.557 -6.719
4.124 -6.342 0.872
Ti Te Sb
4 2 4
Cartesian
2.627 -6.291 -1.614
1.070 -2.606 -0.698
-1.016 -2.608 -4.233
0.541 -6.294 -5.149
0.806 -4.450 -2.924
0.000 0.000 0.000
0.525 -7.872 -2.751
-1.700 -2.613 -1.451
-2.074 -5.248 -4.624
0.899 -5.237 0.422
```

## ScCu2Si (meta-GGA SCAN)

Data for a crystal of ScCu2Si relaxed with PBEsol.

**Space-group type**: P4/mmm (123)
**Uncorrected formation energy**: -131.7 meV/atom
**Calculated density**: 5.7 g/cm3
**Magnetic moment**: 0.0 μB/cell
**Raw total energy**: -1.014 Ry/atom

Geometry as POSCAR:
```
ScCu2Si
1.0
-0.007 -0.435 3.169
-1.324 -2.884 -0.399
5.144 -2.319 -0.306
Sc Si Cu
1 1 2
Cartesian
-0.666 -1.660 1.385
1.906 -2.819 1.232
3.742 -1.687 -0.223
1.402 -0.632 -0.084
```

## Hg2PO (meta-GGA SCAN)

Data for a crystal of Hg2PO relaxed with PBEsol.

**Space-group type**: I-42d (122)
**Uncorrected formation energy**: 154.9 meV/atom
**Calculated density**: 8.9 g/cm3
**Magnetic moment**: 0.0 μB/cell
**Raw total energy**: -2.799 Ry/atom

Geometry as POSCAR:
```
Hg2PO
1.0
-2.885 -4.687 -0.302
2.640 -1.325 -4.654
3.987 0.439 5.401
Hg P O
4 2 2
Cartesian
2.760 -3.389 1.090
2.141 -2.944 -2.844
3.037 -0.461 3.295
-0.453 -4.351 -0.650
0.000 0.000 0.000
3.252 -1.946 -0.865
0.490 -3.627 1.311
-0.123 -3.006 -2.478
```

## MnNi6Pt (meta-GGA SCAN)

Data for a crystal of MnNi6Pt relaxed with PBEsol.

**Space-group type**: Cmmm (65)
**Energy of formation**: -0.183 eV/atom
**Calculated density**: 11.1 g/cm3
**Magnetic moment**: 34.4 μB/cell
**Raw total energy**: -1.718 Ry/atom

Geometry as POSCAR:
```
MnNi6Pt
1.0
6.161 -0.004 0.000
-2.063 5.805 0.000
0.000 0.000 10.060
Ni Mn Pt
24 4 4
Cartesian
0.010 4.340 2.471
0.000 0.000 5.030
2.026 5.069 1.230
4.078 3.612 6.323
-0.002 2.198 8.831
0.019 2.190 3.738
2.072 0.732 8.831
4.100 3.603 1.230
2.072 0.732 1.230
-0.002 2.198 1.230
0.010 4.340 7.590
2.057 0.750 3.738
4.078 3.612 3.738
2.049 2.901 0.000
0.019 2.190 6.323
4.087 1.461 7.590
2.041 5.051 3.738
2.026 5.069 8.831
4.100 3.603 8.831
2.041 5.051 6.323
2.057 0.750 6.323
4.087 1.461 2.471
2.049 2.901 5.030
0.000 0.000 0.000
0.000 4.348 0.000
2.049 2.901 2.479
2.049 2.901 7.581
4.097 1.454 0.000
0.000 0.000 7.557
0.005 4.344 5.030
4.092 1.457 5.030
0.000 0.000 2.504
```

## K3BaS (meta-GGA SCAN)

Data for a crystal of K3BaS relaxed with PBEsol.

**Space-group type**: Pm-3m (221)
**Uncorrected formation energy**: 744.7 meV/atom
**Calculated density**: 1.2 g/cm3
**Magnetic moment**: 1.0 μB/cell
**Raw total energy**: -1.035 Ry/atom

Geometry as POSCAR:
```
K3BaS
1.0
7.318 0.000 0.000
0.000 7.318 0.000
0.000 0.000 7.318
K Ba S
3 1 1
Cartesian
0.000 3.659 0.000
3.659 0.000 0.000
0.000 0.000 3.659
0.000 0.000 0.000
3.659 3.659 3.659
```